A plane-wave DFT calculation with GGA-PBE was carried out for a relaxed Sr4GeI5 crystal.

The structure in CIF format:
```
data_Sr4GeI5
_chemical_formula_sum 'Sr4 Ge1 I5'
_cell_length_a 4.510
_cell_length_b 9.806
_cell_length_c 12.564
_cell_angle_alpha 124.92
_cell_angle_beta 100.34
_cell_angle_gamma 90.00
_symmetry_space_group_name_H-M 'P 1'
_symmetry_Int_Tables_number 1
loop_
_symmetry_equiv_pos_as_xyz
'x,y,z'
loop_
_atom_site_label
_atom_site_type_symbol
_atom_site_fract_x
_atom_site_fract_y
_atom_site_fract_z
Sr1 Sr 0.658 0.222 0.317
Sr2 Sr 0.001 0.764 0.003
Sr3 Sr 0.999 0.236 0.997
Sr4 Sr 0.342 0.778 0.683
I1 I 0.500 0.500 0.000
I2 I 0.830 0.507 0.659
I3 I 0.833 0.005 0.666
I4 I 0.170 0.493 0.341
I5 I 0.167 0.995 0.334
Ge1 Ge 0.500 0.000 0.000
```

Summary:
For the formation energy from raw total energies, the calculation gives -1.384 eV per atom.



A plane-wave DFT calculation with GGA-PBE was carried out for a relaxed NaPdRhF6 crystal.

The structure in CIF format:
```
data_NaPdRhF6
_chemical_formula_sum 'Na2 Pd2 Rh2 F12'
_cell_length_a 5.528
_cell_length_b 5.528
_cell_length_c 9.155
_cell_angle_alpha 90.00
_cell_angle_beta 90.00
_cell_angle_gamma 120.00
_symmetry_space_group_name_H-M 'P 1'
_symmetry_Int_Tables_number 1
loop_
_symmetry_equiv_pos_as_xyz
'x,y,z'
loop_
_atom_site_label
_atom_site_type_symbol
_atom_site_fract_x
_atom_site_fract_y
_atom_site_fract_z
F1 F 0.362 0.328 0.373
F2 F 0.672 0.638 0.127
F3 F 0.966 0.328 0.127
F4 F 0.966 0.638 0.373
F5 F 0.638 0.672 0.627
F6 F 0.328 0.966 0.627
F7 F 0.638 0.966 0.873
F8 F 0.034 0.362 0.627
F9 F 0.328 0.362 0.873
F10 F 0.034 0.672 0.873
F11 F 0.672 0.034 0.373
F12 F 0.362 0.034 0.127
Pd1 Pd 0.000 0.000 0.000
Pd2 Pd 0.000 0.000 0.500
Rh1 Rh 0.667 0.333 0.250
Rh2 Rh 0.333 0.667 0.750
Na1 Na 0.667 0.333 0.750
Na2 Na 0.333 0.667 0.250
```

Summary:
For the formation energy from raw total energies, the calculation gives -1.679 eV per atom.



A plane-wave DFT calculation with GGA-PBE was carried out for a relaxed TbPm5Y4 crystal.

The structure in CIF format:
```
data_TbPm5Y4
_chemical_formula_sum 'Tb1 Pm5 Y4'
_cell_length_a 3.577
_cell_length_b 11.073
_cell_length_c 9.251
_cell_angle_alpha 102.87
_cell_angle_beta 101.09
_cell_angle_gamma 90.03
_symmetry_space_group_name_H-M 'P 1'
_symmetry_Int_Tables_number 1
loop_
_symmetry_equiv_pos_as_xyz
'x,y,z'
loop_
_atom_site_label
_atom_site_type_symbol
_atom_site_fract_x
_atom_site_fract_y
_atom_site_fract_z
Pm1 Pm 0.162 0.918 0.325
Pm2 Pm 0.838 0.082 0.675
Pm3 Pm 0.833 0.477 0.663
Pm4 Pm 0.500 0.500 0.000
Pm5 Pm 0.167 0.523 0.337
Y1 Y 0.324 0.778 0.645
Y2 Y 0.022 0.257 0.044
Y3 Y 0.978 0.743 0.956
Y4 Y 0.676 0.222 0.355
Tb1 Tb 0.500 0.000 0.000
```

Summary:
For the relative energy among the computed polymorphs, the calculation gives 0.00 eV per formula unit. The value obtained for the formation enthalpy at 0 K is 215 meV per atom.



A plane-wave DFT calculation with GGA-PBE was carried out for a relaxed Ca2LaMgIr crystal.

The structure in CIF format:
```
data_Ca2LaMgIr
_chemical_formula_sum 'Ca2 La1 Mg1 Ir1'
_cell_length_a 5.621
_cell_length_b 5.621
_cell_length_c 5.468
_cell_angle_alpha 90.00
_cell_angle_beta 90.00
_cell_angle_gamma 90.00
_symmetry_space_group_name_H-M 'P 1'
_symmetry_Int_Tables_number 1
loop_
_symmetry_equiv_pos_as_xyz
'x,y,z'
loop_
_atom_site_label
_atom_site_type_symbol
_atom_site_fract_x
_atom_site_fract_y
_atom_site_fract_z
La1 La 0.000 0.000 0.500
Mg1 Mg 0.500 0.500 0.500
Ir1 Ir 0.000 0.000 0.000
Ca1 Ca 0.000 0.500 0.000
Ca2 Ca 0.500 0.000 0.000
```

Summary:
The value obtained for the formation enthalpy at 0 K is -264 meV per atom.



Table of N(E_F) (states/eV/f.u.), in record order: 5.932, 0.670, 16.761, 3.187
Table of calculated total energy (eV/atom), in record order: -3.29, -4.47, -5.21, -4.14